# 1
# GGA-PBE TlSi4O7, optimized geometry
# Symmetry: Pmn2_1 (31)
# ΔE_f (raw): -2198.1 meV/atom
data_TlSi4O7
_symmetry_space_group_name_H-M 'P 1'
_symmetry_Int_Tables_number 1
_cell_length_a 10.9397
_cell_length_b 7.6859
_cell_length_c 5.0902
_cell_angle_alpha 90.00
_cell_angle_beta 90.00
_cell_angle_gamma 90.00
loop_
_symmetry_equiv_pos_as_xyz
'x,y,z'
loop_
_atom_site_label
_atom_site_type_symbol
_atom_site_fract_x
_atom_site_fract_y
_atom_site_fract_z
_atom_site_occupancy
Tl1 Tl 0.0000 0.1155 0.0000 1
Tl2 Tl 0.5000 0.8845 0.5000 1
Si1 Si 0.1405 0.6745 0.2203 1
Si2 Si 0.2062 0.2639 0.2159 1
Si3 Si 0.2938 0.7361 0.7159 1
Si4 Si 0.3595 0.3255 0.7203 1
Si5 Si 0.6405 0.3255 0.7203 1
Si6 Si 0.7062 0.7361 0.7159 1
Si7 Si 0.7938 0.2639 0.2159 1
Si8 Si 0.8595 0.6745 0.2203 1
O1 O 0.0000 0.7385 0.1554 1
O2 O 0.1481 0.4635 0.1994 1
O3 O 0.1742 0.7407 0.5151 1
O4 O 0.2337 0.7661 0.0111 1
O5 O 0.2663 0.2339 0.5111 1
O6 O 0.3258 0.2593 0.0151 1
O7 O 0.3519 0.5365 0.6994 1
O8 O 0.5000 0.2615 0.6554 1
O9 O 0.6481 0.5365 0.6994 1
O10 O 0.6742 0.2593 0.0151 1
O11 O 0.7337 0.2339 0.5111 1
O12 O 0.7663 0.7661 0.0111 1
O13 O 0.8258 0.7407 0.5151 1
O14 O 0.8519 0.4635 0.1994 1

=====

# 2
# GGA-PBE ErAlAg, optimized geometry
# E_form: -1.18 eV per formula unit
# Symmetry: C2/m (12)
data_ErAlAg
_symmetry_space_group_name_H-M 'P 1'
_symmetry_Int_Tables_number 1
_cell_length_a 5.7070
_cell_length_b 5.7070
_cell_length_c 7.1217
_cell_angle_alpha 127.02
_cell_angle_beta 127.02
_cell_angle_gamma 47.02
loop_
_symmetry_equiv_pos_as_xyz
'x,y,z'
loop_
_atom_site_label
_atom_site_type_symbol
_atom_site_fract_x
_atom_site_fract_y
_atom_site_fract_z
_atom_site_occupancy
Er1 Er 0.0389 0.0389 0.2942 1
Er2 Er 0.9611 0.9611 0.7058 1
Al1 Al 0.3386 0.3386 0.8879 1
Al2 Al 0.6614 0.6614 0.1121 1
Ag1 Ag 0.3271 0.3271 0.2789 1
Ag2 Ag 0.6729 0.6729 0.7211 1

=====

# 3
# GGA-PBE TlNiSe2, optimized geometry
# Symmetry: P4mm (99)
# ΔE_f (raw): 58.1 meV/atom
data_TlNiSe2
_symmetry_space_group_name_H-M 'P 1'
_symmetry_Int_Tables_number 1
_cell_length_a 3.1921
_cell_length_b 3.1921
_cell_length_c 10.0264
_cell_angle_alpha 90.00
_cell_angle_beta 90.00
_cell_angle_gamma 90.00
loop_
_symmetry_equiv_pos_as_xyz
'x,y,z'
loop_
_atom_site_label
_atom_site_type_symbol
_atom_site_fract_x
_atom_site_fract_y
_atom_site_fract_z
_atom_site_occupancy
Tl1 Tl 0.0000 0.0000 0.0000 1
Ni1 Ni 0.5000 0.5000 0.3269 1
Se1 Se 0.0000 0.0000 0.4024 1
Se2 Se 0.5000 0.5000 0.7768 1

=====

# 4
# GGA-PBE AcCrSb2, optimized geometry
# Energy above the most stable polymorph in this dataset: 0 meV/atom
# Symmetry: P4/mmm (123)
# ΔE_f (raw): -121.4 meV/atom
data_AcCrSb2
_symmetry_space_group_name_H-M 'P 1'
_symmetry_Int_Tables_number 1
_cell_length_a 3.8549
_cell_length_b 3.8549
_cell_length_c 7.3335
_cell_angle_alpha 90.00
_cell_angle_beta 90.00
_cell_angle_gamma 90.00
loop_
_symmetry_equiv_pos_as_xyz
'x,y,z'
loop_
_atom_site_label
_atom_site_type_symbol
_atom_site_fract_x
_atom_site_fract_y
_atom_site_fract_z
_atom_site_occupancy
Ac1 Ac 0.0000 0.0000 0.0000 1
Cr1 Cr 0.0000 0.0000 0.5000 1
Sb1 Sb 0.5000 0.5000 0.2987 1
Sb2 Sb 0.5000 0.5000 0.7013 1

=====

# 5
# GGA-PBE Ba2ZrSc, optimized geometry
# Energy above the most stable polymorph in this dataset: 293 meV/atom
# E_form: 2.55 eV per formula unit
# Symmetry: Cmmm (65)
data_Ba2ZrSc
_symmetry_space_group_name_H-M 'P 1'
_symmetry_Int_Tables_number 1
_cell_length_a 6.5129
_cell_length_b 6.5129
_cell_length_c 3.6144
_cell_angle_alpha 90.00
_cell_angle_beta 90.00
_cell_angle_gamma 112.58
loop_
_symmetry_equiv_pos_as_xyz
'x,y,z'
loop_
_atom_site_label
_atom_site_type_symbol
_atom_site_fract_x
_atom_site_fract_y
_atom_site_fract_z
_atom_site_occupancy
Ba1 Ba 0.0000 0.5000 0.0000 1
Ba2 Ba 0.5000 0.0000 0.0000 1
Zr1 Zr 0.0000 0.0000 0.5000 1
Sc1 Sc 0.5000 0.5000 0.5000 1

=====

# 6
# GGA-PBE NaCa3Rh, optimized geometry
# Energy above the most stable polymorph in this dataset: 46 meV/atom
# E_form: -0.79 eV per formula unit
# Symmetry: P2_1/m (11)
data_NaCa3Rh
_symmetry_space_group_name_H-M 'P 1'
_symmetry_Int_Tables_number 1
_cell_length_a 5.6163
_cell_length_b 9.1806
_cell_length_c 6.9488
_cell_angle_alpha 90.00
_cell_angle_beta 113.31
_cell_angle_gamma 90.00
loop_
_symmetry_equiv_pos_as_xyz
'x,y,z'
loop_
_atom_site_label
_atom_site_type_symbol
_atom_site_fract_x
_atom_site_fract_y
_atom_site_fract_z
_atom_site_occupancy
Na1 Na 0.2155 0.2500 0.4326 1
Na2 Na 0.7845 0.7500 0.5674 1
Ca1 Ca 0.0658 0.7500 0.1306 1
Ca2 Ca 0.3728 0.5450 0.7465 1
Ca3 Ca 0.3728 0.9550 0.7465 1
Ca4 Ca 0.6272 0.0450 0.2535 1
Ca5 Ca 0.6272 0.4550 0.2535 1
Ca6 Ca 0.9342 0.2500 0.8694 1
Rh1 Rh 0.4569 0.2500 0.9148 1
Rh2 Rh 0.5431 0.7500 0.0852 1

=====

# 7
# GGA-PBE Li2Cu, optimized geometry
# E_form: -0.02 eV per formula unit
# Symmetry: Cmcm (63)
data_Li2Cu
_symmetry_space_group_name_H-M 'P 1'
_symmetry_Int_Tables_number 1
_cell_length_a 7.2781
_cell_length_b 7.2781
_cell_length_c 4.4412
_cell_angle_alpha 90.00
_cell_angle_beta 90.00
_cell_angle_gamma 158.99
loop_
_symmetry_equiv_pos_as_xyz
'x,y,z'
loop_
_atom_site_label
_atom_site_type_symbol
_atom_site_fract_x
_atom_site_fract_y
_atom_site_fract_z
_atom_site_occupancy
Li1 Li 0.0504 0.9496 0.7500 1
Li2 Li 0.2783 0.7217 0.2500 1
Li3 Li 0.7217 0.2783 0.7500 1
Li4 Li 0.9496 0.0504 0.2500 1
Cu1 Cu 0.3843 0.6157 0.7500 1
Cu2 Cu 0.6157 0.3843 0.2500 1

=====

# 8
# GGA-PBE Cs2PdPtO4, optimized geometry
# Symmetry: Fddd (70)
# ΔE_f (raw): -853.7 meV/atom
data_Cs2PdPtO4
_symmetry_space_group_name_H-M 'P 1'
_symmetry_Int_Tables_number 1
_cell_length_a 12.6360
_cell_length_b 10.8273
_cell_length_c 7.7898
_cell_angle_alpha 83.79
_cell_angle_beta 58.41
_cell_angle_gamma 37.80
loop_
_symmetry_equiv_pos_as_xyz
'x,y,z'
loop_
_atom_site_label
_atom_site_type_symbol
_atom_site_fract_x
_atom_site_fract_y
_atom_site_fract_z
_atom_site_occupancy
Cs1 Cs 0.0443 0.0443 0.7057 1
Cs2 Cs 0.2943 0.2943 0.9557 1
Cs3 Cs 0.7057 0.7057 0.0443 1
Cs4 Cs 0.9557 0.9557 0.2943 1
Pd1 Pd 0.1250 0.1250 0.1250 1
Pd2 Pd 0.8750 0.8750 0.8750 1
Pt1 Pt 0.3750 0.3750 0.3750 1
Pt2 Pt 0.6250 0.6250 0.6250 1
O1 O 0.0371 0.7106 0.5318 1
O2 O 0.2204 0.5318 0.7106 1
O3 O 0.2894 0.9629 0.7796 1
O4 O 0.4682 0.7796 0.9629 1
O5 O 0.5318 0.2204 0.0371 1
O6 O 0.7106 0.0371 0.2204 1
O7 O 0.7796 0.4682 0.2894 1
O8 O 0.9629 0.2894 0.4682 1

=====

# 9
# GGA-PBE NdMgSc2, optimized geometry
# Energy above the most stable polymorph in this dataset: 0 meV/atom
# E_form: 0.02 eV per formula unit
# Symmetry: P4mm (99)
data_NdMgSc2
_symmetry_space_group_name_H-M 'P 1'
_symmetry_Int_Tables_number 1
_cell_length_a 3.4252
_cell_length_b 3.4252
_cell_length_c 9.1416
_cell_angle_alpha 90.00
_cell_angle_beta 90.00
_cell_angle_gamma 90.00
loop_
_symmetry_equiv_pos_as_xyz
'x,y,z'
loop_
_atom_site_label
_atom_site_type_symbol
_atom_site_fract_x
_atom_site_fract_y
_atom_site_fract_z
_atom_site_occupancy
Nd1 Nd 0.0000 0.0000 0.0000 1
Mg1 Mg 0.5000 0.5000 0.2681 1
Sc1 Sc 0.0000 0.0000 0.4951 1
Sc2 Sc 0.5000 0.5000 0.7257 1

=====

# 10
# GGA-PBE LiCuP2, optimized geometry
# Energy above the most stable polymorph in this dataset: 169 meV/atom
# E_form: 0.02 eV per formula unit
# Symmetry: I-42d (122)
data_LiCuP2
_symmetry_space_group_name_H-M 'P 1'
_symmetry_Int_Tables_number 1
_cell_length_a 5.5975
_cell_length_b 5.5975
_cell_length_c 5.5975
_cell_angle_alpha 100.32
_cell_angle_beta 100.32
_cell_angle_gamma 129.91
loop_
_symmetry_equiv_pos_as_xyz
'x,y,z'
loop_
_atom_site_label
_atom_site_type_symbol
_atom_site_fract_x
_atom_site_fract_y
_atom_site_fract_z
_atom_site_occupancy
Li1 Li 0.0000 0.0000 0.0000 1
Li2 Li 0.7500 0.2500 0.5000 1
Cu1 Cu 0.2500 0.7500 0.5000 1
Cu2 Cu 0.5000 0.5000 0.0000 1
P1 P 0.1906 0.6250 0.0656 1
P2 P 0.3750 0.4406 0.5656 1
P3 P 0.5594 0.1250 0.9344 1
P4 P 0.8750 0.8094 0.4344 1

=====

Copy entry 5 word for word.
# GGA-PBE Ba2ZrSc, optimized geometry
# Energy above the most stable polymorph in this dataset: 293 meV/atom
# E_form: 2.55 eV per formula unit
# Symmetry: Cmmm (65)
data_Ba2ZrSc
_symmetry_space_group_name_H-M 'P 1'
_symmetry_Int_Tables_number 1
_cell_length_a 6.5129
_cell_length_b 6.5129
_cell_length_c 3.6144
_cell_angle_alpha 90.00
_cell_angle_beta 90.00
_cell_angle_gamma 112.58
loop_
_symmetry_equiv_pos_as_xyz
'x,y,z'
loop_
_atom_site_label
_atom_site_type_symbol
_atom_site_fract_x
_atom_site_fract_y
_atom_site_fract_z
_atom_site_occupancy
Ba1 Ba 0.0000 0.5000 0.0000 1
Ba2 Ba 0.5000 0.0000 0.0000 1
Zr1 Zr 0.0000 0.0000 0.5000 1
Sc1 Sc 0.5000 0.5000 0.5000 1